1.
ErAg2Hg3 | PBE-GGA | relaxed

Structure (extended XYZ):
```
12
Lattice="10.5317 -1.8995 0.0000 10.5317 1.8995 0.0000 -0.7959 0.0000 6.8892" Properties=species:S:1:pos:R:3 pbc="T T T"
Er 2.0401 0.0000 0.3304
Er 18.2274 0.0000 6.5588
Ag 3.8260 0.0000 3.1684
Ag 10.2246 0.0000 1.3853
Ag 10.0429 0.0000 5.5039
Ag 16.4415 0.0000 3.7208
Hg 1.0099 0.0000 3.2217
Hg 5.2468 0.0000 5.8235
Hg 7.1912 0.0000 1.8013
Hg 13.0763 0.0000 5.0879
Hg 15.0207 0.0000 1.0657
Hg 19.2576 0.0000 3.6675
```



2.
18
Lattice="7.0558 -5.5798 0.0000 7.0558 5.5798 0.0000 -0.9756 0.0000 5.1809" Properties=species:S:1:pos:R:3 comment="PBE-GGA Er3Ag4Hg2, relaxed" e_above_lowest_polymorph_mev_per_atom=10 pbc="T T T"
Er 6.3242 4.1213 3.8857
Er 3.8175 1.3653 4.7756
Er 4.3053 -1.3653 2.1851
Er 8.8308 1.3653 2.9958
Er 9.3186 -1.3653 0.4054
Er 6.8119 -4.1213 1.2952
Ag 2.8259 1.4461 1.9058
Ag 5.8191 1.3202 2.4751
Ag 2.3381 -1.4461 4.4963
Ag 7.8048 1.3202 0.1154
Ag 5.3313 -1.3202 5.0656
Ag 10.7980 1.4461 0.6847
Ag 7.3170 -1.3202 2.7058
Ag 10.3102 -1.4461 3.2751
Hg 5.2565 4.1693 0.9872
Hg 8.3674 4.1693 1.6033
Hg 4.7687 -4.1693 3.5777
Hg 7.8796 -4.1693 4.1938



3.
ErAgHg | PBE-GGA | relaxed

Structure (extended XYZ):
```
3
Lattice="4.9095 0.0000 0.0000 0.0000 3.5517 0.0000 -1.6024 0.0000 4.8959" Properties=species:S:1:pos:R:3 pbc="T T T"
Er 0.0000 0.0000 0.0000
Ag 2.4548 1.7758 0.0000
Hg -0.8012 1.7758 2.4479
```



4.
ErAg3Hg2 | PBE-GGA | relaxed

Structure (extended XYZ):
```
12
Lattice="3.3619 -4.0689 0.0000 3.3619 4.0689 0.0000 -3.1378 0.0000 9.1418" Properties=species:S:1:pos:R:3 pbc="T T T"
Er 1.0085 2.9825 6.8564
Er 2.5774 -2.9825 2.2855
Ag -0.7083 0.9738 8.4487
Ag 2.5774 0.8470 2.2855
Ag 0.8606 -0.9738 3.8778
Ag 2.7253 0.9738 5.2640
Ag 1.0085 -0.8470 6.8564
Ag 4.2942 -0.9738 0.6931
Hg -0.8157 1.0873 5.3957
Hg 0.7532 -1.0873 0.8248
Hg 2.8327 1.0873 8.3170
Hg 4.4016 -1.0873 3.7461
```



How do the records compare in energy of formation from the pure elements? In the order shown, they have -0.117; -0.279; -0.006; -0.156 eV per atom.